VASP calculation (GGA-PBE) on a geometry-optimized Tb2DyPaS4 structure.

Properties
**Uncorrected formation energy**: -1.89 eV per atom
**DFT total energy**: -54.961 eV/cell

Unit cell a=6.783 b=3.885 c=6.791 alpha=90.00 beta=109.05 gamma=90.00
Space group P2/m (No. 10)
Inequivalent atoms, fractional coordinates:
Tb 0.000 0.000 0.000
Tb 0.000 0.500 0.500
Dy 0.500 0.000 0.500
Pa 0.500 0.500 0.000
S 0.250 0.000 0.748
S 0.252 0.500 0.251